The following is a PBE calculation of an optimized crystal structure of Ho3Tm2Pb4, from Alexandria.

Unit cell a=4.933 b=6.805 c=8.452 alpha=104.99 beta=106.97 gamma=90.00
Fractional coordinates of all 9 atoms:
Ho  0.114  0.591  0.229
Ho  0.886  0.409  0.771
Ho  0.000  0.000  0.000
Tm  0.671  0.062  0.341
Tm  0.329  0.938  0.659
Pb  0.489  0.717  0.978
Pb  0.244  0.307  0.489
Pb  0.511  0.283  0.022
Pb  0.756  0.693  0.511

Symmetry: C2/m, No. 12
Calculated formation energy, meV/atom: -399
Spin magnetization, Bohr magnetons per cell: 0.00
Calculated volume, Å³/cell: 261.27